Record 1
Crystalline Zn2FePb at its relaxed geometry. Source: Alexandria, functional GGA-PBEsol.

Cell lengths 3.0554, 4.3725, 9.7819 Å; angles 90.00, 90.00, 90.00 degrees
Last column: nearest neighbours and their distance in Å.
Space group Immm (No. 71)
One atom of each set of equivalent atoms:
Zn (0.0000, 0.0000, 0.2156) [4 per cell]  2 Fe 2.60, 4 Zn 2.75
Fe (0.0000, 0.5000, 0.5000) [2 per cell]  4 Zn 2.60, 4 Pb 2.67
Pb (0.0000, 0.5000, 0.0000) [2 per cell]  4 Fe 2.67

V (A^3/atom): 16.3
Density (g/cm³): 10.01
DFT total energy (eV per atom): -3.6790
DOS(E_F) (states/eV/f.u.): 2.99
Formation energy from the elements (eV per atom): 0.35


Record 2
Crystalline ZrFe2Pb at its relaxed geometry. Source: Alexandria, functional GGA-PBEsol.

Cell lengths 3.1953, 3.1953, 6.0858 Å; angles 90.00, 90.00, 90.00 degrees
Last column: nearest neighbours and their distance in Å.
Space group P4/mmm (No. 123)
One atom of each set of equivalent atoms:
Zr (0.0000, 0.0000, 0.0000) [1 per cell]  8 Fe 2.70
Fe (0.5000, 0.5000, 0.2434) [2 per cell]  4 Zr 2.70, 4 Pb 2.75, 1 Fe 2.96
Pb (0.0000, 0.0000, 0.5000) [1 per cell]  8 Fe 2.75, 2 Zr 3.04

V (A^3/atom): 15.5
Density (g/cm³): 10.96
DFT total energy (eV per atom): -7.5657
DOS(E_F) (states/eV/f.u.): 1.63
Formation energy from the elements (eV per atom): 0.19


Record 3
Crystalline ZrFePb at its relaxed geometry. Source: Alexandria, functional GGA-PBEsol.

Cell lengths 3.1646, 3.1646, 11.0294 Å; angles 90.00, 90.00, 90.00 degrees
Last column: nearest neighbours and their distance in Å.
Space group I4mm (No. 107)
One atom of each set of equivalent atoms:
Zr (0.0000, 0.0000, 0.0000) [2 per cell]  4 Fe 2.66
Fe (0.0000, 0.0000, 0.6298) [2 per cell]  4 Zr 2.66, 4 Pb 2.82
Pb (0.0000, 0.0000, 0.2857) [2 per cell]  4 Fe 2.82, 1 Zr 3.15

V (A^3/atom): 18.4
Density (g/cm³): 10.65
DFT total energy (eV per atom): -7.2437
DOS(E_F) (states/eV/f.u.): 2.68
Formation energy from the elements (eV per atom): 0.11


Repeat the second record exactly.
Crystalline ZrFe2Pb at its relaxed geometry. Source: Alexandria, functional GGA-PBEsol.

Cell lengths 3.1953, 3.1953, 6.0858 Å; angles 90.00, 90.00, 90.00 degrees
Last column: nearest neighbours and their distance in Å.
Space group P4/mmm (No. 123)
One atom of each set of equivalent atoms:
Zr (0.0000, 0.0000, 0.0000) [1 per cell]  8 Fe 2.70
Fe (0.5000, 0.5000, 0.2434) [2 per cell]  4 Zr 2.70, 4 Pb 2.75, 1 Fe 2.96
Pb (0.0000, 0.0000, 0.5000) [1 per cell]  8 Fe 2.75, 2 Zr 3.04

V (A^3/atom): 15.5
Density (g/cm³): 10.96
DFT total energy (eV per atom): -7.5657
DOS(E_F) (states/eV/f.u.): 1.63
Formation energy from the elements (eV per atom): 0.19